Record 1
The following is a DFT calculation (PBE) of a relaxed Cs2Ca4N crystal.

Its density of states at the Fermi level is 5.31 states/eV/f.u. The value obtained for the formation energy (no corrections) is -0.149 eV per atom. The total energy is -2.73 eV per atom.

Unit cell a=4.9519 b=4.9519 c=29.8658 alpha=90.00 beta=90.00 gamma=90.00
Space group I4/mmm (No. 139)
One atom of each set of equivalent atoms:
Cs1 0.0000 0.0000 0.1780 (multiplicity 4)
Ca1 0.0000 0.0000 0.4201 (multiplicity 4)
Ca2 0.0000 0.5000 0.0000 (multiplicity 4)
N1 0.0000 0.0000 0.5000 (multiplicity 2)

Record 2
The following is a DFT calculation (PBE) of a relaxed Tb12Dy6Y crystal.

Its density of states at the Fermi level is 24.73 states/eV/f.u. The calculation puts the formation energy at 0.44 eV/atom. The total energy is -4.27 eV per atom. The calculation puts the excess energy over the best structure of this formula in the dataset at 290 meV/atom.

Unit cell a=15.1979 b=15.1979 c=9.8389 alpha=90.00 beta=90.00 gamma=120.00
Space group R-3m (No. 166, hexagonal axes)
One atom of each set of equivalent atoms:
Tb1 0.0000 0.3905 0.0000 (multiplicity 18)
Tb2 0.0705 0.1410 0.7978 (multiplicity 18)
Dy1 0.0481 0.5240 0.7034 (multiplicity 18)
Y1 0.0000 0.0000 0.5000 (multiplicity 3)

Record 3
The following is a DFT calculation (PBE) of a relaxed KNaLiAs crystal.

The calculation puts the formation energy at -0.39 eV/atom. The total energy is -2.64 eV per atom. The calculation puts the excess energy over the best structure of this formula in the dataset at 55 meV/atom.

Unit cell a=7.1543 b=7.1543 c=7.1543 alpha=90.00 beta=90.00 gamma=90.00
Space group F-43m (No. 216)
One atom of each set of equivalent atoms:
K1 0.0000 0.0000 0.0000 (multiplicity 4)
Na1 0.2500 0.2500 0.7500 (multiplicity 4)
Li1 0.2500 0.2500 0.2500 (multiplicity 4)
As1 0.0000 0.0000 0.5000 (multiplicity 4)